Arrangement i

11
Lattice="9.813 0.000 0.000 -4.906 8.498 0.000 0.000 0.000 5.487" Properties=species:S:1:pos:R:3 comment="La3Pm3Nd5 | the Alexandria database | PBE-GGA | optimized geometry" total_magnetization_mub_per_fu=0.00 dos_ef_per_ev_cell=17.847 pbc="T T T"
La -1.770 3.066 0.000
La 3.540 0.000 0.000
La 3.136 5.432 0.000
Pm -2.474 4.285 2.744
Pm 2.432 4.213 2.744
Pm 4.948 0.000 2.744
Nd -3.587 6.213 0.000
Nd 1.319 2.285 0.000
Nd 0.000 5.666 0.000
Nd 4.906 2.833 0.000
Nd 7.174 0.000 0.000


Arrangement ii

11
Lattice="11.519 0.000 0.000 -5.760 9.976 0.000 0.000 0.000 3.498" Properties=species:S:1:pos:R:3 comment="La3Pm3Nd5 | the Alexandria database | PBE-GGA | optimized geometry" total_magnetization_mub_per_fu=0.00 dos_ef_per_ev_cell=19.722 pbc="T T T"
La -2.294 3.973 0.000
La 4.588 0.000 0.000
La 3.466 6.002 0.000
Pm -0.921 1.595 1.749
Pm 1.841 0.000 1.749
Pm 4.839 8.381 1.749
Nd -3.808 6.596 1.749
Nd 0.000 6.651 1.749
Nd 1.951 3.379 1.749
Nd 7.617 0.000 1.749
Nd 5.760 3.325 1.749


Which one sits at the bottom of the stability order? arrangement i does.


Arrangement i

15
Lattice="4.917 2.839 6.483 -4.917 2.839 6.483 0.000 -5.678 6.483" Properties=species:S:1:pos:R:3 comment="La8PmNd6 | the Alexandria database | PBE-GGA | optimized geometry" total_magnetization_mub_per_fu=0.00 dos_ef_per_ev_cell=26.835 pbc="T T T"
La 0.000 0.000 1.506
La -0.594 -2.099 6.486
La -1.521 1.564 6.486
La -2.115 -0.536 12.964
La 2.115 0.536 6.486
La 1.521 -1.564 12.964
La 0.594 2.099 12.964
La 0.000 0.000 17.943
Pm 0.000 0.000 9.725
Nd -2.547 -2.456 9.414
Nd -3.401 0.978 10.036
Nd 0.854 -3.434 10.036
Nd -0.854 3.434 9.414
Nd 3.401 -0.978 9.414
Nd 2.547 2.456 10.036


Arrangement ii

15
Lattice="3.222 1.860 15.125 -3.222 1.860 15.125 0.000 -3.721 15.125" Properties=species:S:1:pos:R:3 comment="La8PmNd6 | the Alexandria database | PBE-GGA | optimized geometry" total_magnetization_mub_per_fu=0.00 dos_ef_per_ev_cell=25.771 pbc="T T T"
La -2.149 0.000 16.665
La 0.000 0.000 7.563
La -1.074 -1.861 28.711
La 1.075 -1.861 16.665
La -1.075 1.861 28.711
La 1.074 1.861 16.665
La 0.000 0.000 37.813
La 2.149 0.000 28.711
Pm 0.000 0.000 22.688
Nd -1.072 -1.856 19.694
Nd -2.143 0.000 25.682
Nd -1.072 1.856 19.694
Nd 1.072 -1.856 25.682
Nd 2.143 0.000 19.694
Nd 1.072 1.856 25.682


Which one sits at the bottom of the stability order? arrangement i does.


Arrangement i

12
Lattice="6.042 0.000 0.000 0.000 3.665 0.000 -1.046 0.000 19.390" Properties=species:S:1:pos:R:3 comment="La2Pm3Nd7 | the Alexandria database | PBE-GGA | optimized geometry" total_magnetization_mub_per_fu=0.00 dos_ef_per_ev_cell=17.106 pbc="T T T"
La 0.909 0.000 5.738
La 4.087 0.000 13.653
Pm 0.000 0.000 0.000
Pm 1.072 1.833 12.239
Pm 3.924 1.833 7.152
Nd 0.944 1.833 2.775
Nd 0.981 0.000 8.995
Nd 1.057 0.000 15.994
Nd 3.021 1.833 0.000
Nd 3.939 0.000 3.396
Nd 4.015 0.000 10.396
Nd 4.052 1.833 16.616


Arrangement ii

12
Lattice="6.557 0.000 0.000 0.000 3.622 0.000 -1.938 0.000 17.963" Properties=species:S:1:pos:R:3 comment="La2Pm3Nd7 | the Alexandria database | PBE-GGA | optimized geometry" total_magnetization_mub_per_fu=0.00 dos_ef_per_ev_cell=19.794 pbc="T T T"
La 0.055 0.000 3.048
La 4.565 0.000 14.915
Pm 1.342 1.811 15.088
Pm 2.310 0.000 8.982
Pm 3.277 1.811 2.876
Nd -0.969 1.811 8.982
Nd 0.195 0.000 11.980
Nd -0.249 0.000 17.932
Nd 1.158 1.811 6.026
Nd 3.461 1.811 11.937
Nd 4.868 0.000 0.032
Nd 4.424 0.000 5.984


Which one sits at the bottom of the stability order? arrangement i does.


Arrangement i

14
Lattice="-3.501 5.895 6.195 3.501 -5.895 6.195 3.501 5.895 -6.195" Properties=species:S:1:pos:R:3 comment="La4PmNd2 | the Alexandria database | PBE-GGA | optimized geometry" total_magnetization_mub_per_fu=0.00 dos_ef_per_ev_cell=21.118 pbc="T T T"
La 0.000 0.012 1.813
La 1.530 2.948 -0.071
La 1.971 -2.948 6.124
La 3.501 0.012 4.382
La 0.000 5.884 1.813
La 1.530 8.843 0.071
La 1.971 2.948 6.266
La 3.501 5.884 4.382
Pm -1.751 2.948 3.098
Pm 1.751 2.948 3.098
Nd 3.501 0.000 0.000
Nd 3.501 2.948 -2.716
Nd 0.000 0.000 6.195
Nd 0.000 2.948 8.911


Arrangement ii

14
Lattice="7.113 0.000 0.000 2.341 6.905 0.000 0.001 0.001 10.617" Properties=species:S:1:pos:R:3 comment="La4PmNd2 | the Alexandria database | PBE-GGA | optimized geometry" total_magnetization_mub_per_fu=0.00 dos_ef_per_ev_cell=20.638 pbc="T T T"
La 2.007 1.891 3.062
La 2.011 1.879 7.560
La 3.882 5.023 2.237
La 3.886 5.008 8.388
La 5.568 1.897 2.229
La 5.572 1.883 8.380
La 7.444 5.027 3.057
La 7.447 5.014 7.555
Pm 0.000 0.000 0.000
Pm 1.171 3.452 0.000
Nd 0.000 0.001 5.309
Nd 3.556 0.000 0.000
Nd 3.557 0.001 5.309
Nd 4.727 3.453 5.309


Which one sits at the bottom of the stability order? arrangement i does.